{
  "formula": "ZrTaCd2",
  "functional": "PBE",
  "state": "relaxed",
  "lattice_angstrom": [[4.232, 0.000, 0.000], [0.000, 4.232, 0.000], [0.000, 0.000, 9.178]],
  "species": ["Zr", "Zr", "Ta", "Ta", "Cd", "Cd", "Cd", "Cd"],
  "fractional_positions": [[0.000, 0.000, 0.000], [0.500, 0.500, 0.500], [0.000, 0.500, 0.250], [0.500, 0.000, 0.750], [0.000, 0.000, 0.500], [0.000, 0.500, 0.750], [0.500, 0.000, 0.250], [0.500, 0.500, 0.000]],
  "space_group": "I-4m2 (119)",
  "e_above_lowest_polymorph_mev_per_atom": 215
}

***

{
  "formula": "ZrTaCd2",
  "functional": "PBE",
  "state": "relaxed",
  "lattice_angstrom": [[10.828, 0.000, 0.000], [0.000, 3.072, 0.000], [-2.132, 0.000, 4.955]],
  "species": ["Zr", "Zr", "Ta", "Ta", "Cd", "Cd", "Cd", "Cd"],
  "fractional_positions": [[0.000, 0.000, 0.000], [0.500, 0.500, 0.000], [0.243, 0.500, 0.106], [0.743, 0.000, 0.106], [0.240, 0.000, 0.604], [0.491, 0.000, 0.498], [0.740, 0.500, 0.604], [0.991, 0.500, 0.498]],
  "space_group": "Cm (8)",
  "e_above_lowest_polymorph_mev_per_atom": 90
}

***

{
  "formula": "ZrTa4Cd",
  "functional": "PBE",
  "state": "relaxed",
  "lattice_angstrom": [[0.000, 3.935, 3.935], [3.935, 0.000, 3.935], [3.935, 3.935, 0.000]],
  "species": ["Zr", "Ta", "Ta", "Ta", "Ta", "Cd"],
  "fractional_positions": [[0.000, 0.000, 0.000], [0.373, 0.373, 0.373], [0.373, 0.373, 0.881], [0.373, 0.881, 0.373], [0.881, 0.373, 0.373], [0.750, 0.750, 0.750]],
  "space_group": "F-43m (216)",
  "dft_energy_ev_per_atom": -9.226
}

***

{
  "formula": "ZrTaCd2",
  "functional": "PBE",
  "state": "relaxed",
  "lattice_angstrom": [[10.644, 0.000, 0.000], [0.000, 3.010, 0.000], [-0.871, 0.000, 5.153]],
  "species": ["Zr", "Zr", "Ta", "Ta", "Cd", "Cd", "Cd", "Cd"],
  "fractional_positions": [[0.000, 0.000, 0.000], [0.500, 0.500, 0.000], [0.000, 0.500, 0.500], [0.500, 0.000, 0.500], [0.246, 0.000, 0.744], [0.254, 0.500, 0.256], [0.746, 0.500, 0.744], [0.754, 0.000, 0.256]],
  "space_group": "C2/m (12)",
  "e_above_lowest_polymorph_mev_per_atom": 129
}

***

{
  "formula": "ZrTaCd2",
  "functional": "PBE",
  "state": "relaxed",
  "lattice_angstrom": [[6.065, 0.000, 0.000], [0.000, 8.834, 0.000], [-0.017, 0.000, 3.016]],
  "species": ["Zr", "Zr", "Ta", "Ta", "Cd", "Cd", "Cd", "Cd"],
  "fractional_positions": [[0.000, 0.000, 0.000], [0.500, 0.500, 0.000], [0.000, 0.500, 0.000], [0.500, 0.000, 0.000], [0.250, 0.250, 0.500], [0.250, 0.750, 0.500], [0.750, 0.250, 0.500], [0.750, 0.750, 0.500]],
  "space_group": "C2/m (12)",
  "e_above_lowest_polymorph_mev_per_atom": 100
}

***

{
  "formula": "Zr2TaCd",
  "functional": "PBE",
  "state": "relaxed",
  "lattice_angstrom": [[2.941, 0.000, 0.000], [0.000, 2.941, 0.000], [0.000, 0.000, 9.714]],
  "species": ["Zr", "Zr", "Ta", "Cd"],
  "fractional_positions": [[0.000, 0.000, 0.000], [0.500, 0.500, 0.265], [0.500, 0.500, 0.759], [0.000, 0.000, 0.519]],
  "space_group": "P4mm (99)",
  "dft_energy_ev_per_atom": -7.354
}